# PdPt3S8 | Alexandria | PBE-GGA | relaxed
data_PdPt3S8
_space_group_name_H-M_alt 'P 1'
_space_group_IT_number 1
_space_group_name_Hall 'P 1'
_cell_length_a 7.147
_cell_length_b 7.147
_cell_length_c 7.375
_cell_angle_alpha 119.51
_cell_angle_beta 90.00
_cell_angle_gamma 120.00
loop_
_atom_site_label
_atom_site_type_symbol
_atom_site_fract_x
_atom_site_fract_y
_atom_site_fract_z
Pd1 Pd 0.000 0.000 0.000
Pt1 Pt 0.500 0.000 0.000
Pt2 Pt 0.500 0.500 0.000
Pt3 Pt 0.000 0.500 0.000
S1 S 0.264 0.529 0.797
S2 S 0.736 0.471 0.203
S3 S 0.266 0.029 0.797
S4 S 0.764 0.029 0.797
S5 S 0.764 0.528 0.797
S6 S 0.236 0.472 0.203
S7 S 0.236 0.971 0.203
S8 S 0.734 0.971 0.203
# E_form (uncorrected) in eV per atom: -0.306